The following is a PBE calculation of a relaxed Ba2LaPb crystal, from Alexandria.

Values from the calculation:
The calculation puts the calculated formation energy at -215 meV/atom. The total energy is -3.336 eV per atom. Its calculated density is 5.808 Mg/m³.

Cell: 7.3799 7.3799 5.9775 Å, 66.08 66.08 37.09°
Element x y z (fractional)
La1 0.5519 0.5519 0.4480
Ba1 0.7542 0.7542 0.7459
Ba2 0.9613 0.9613 0.0385
Pb1 0.2326 0.2326 0.2676



The following is a PBE calculation of a relaxed AcTb2Pm crystal, from Alexandria.

Values from the calculation:
The calculation puts the calculated formation energy at 43 meV/atom. The energy above the most stable polymorph in this dataset comes out at 0.00 eV per formula unit. The total energy is -4.486 eV per atom. Its calculated density is 8.086 Mg/m³.

Cell: 5.1569 5.2414 5.2414 Å, 90.00 90.00 90.00°
Element x y z (fractional)
Pm1 0.5000 0.5000 0.5000
Tb1 0.0000 0.0000 0.5000
Tb2 0.0000 0.5000 0.0000
Ac1 0.5000 0.0000 0.0000



The following is a PBE calculation of a relaxed LiPm8Sn6 crystal, from Alexandria.

Values from the calculation:
The calculation puts the calculated formation energy at -548 meV/atom. The total energy is -4.810 eV per atom. Its calculated density is 6.361 Mg/m³.

Cell: 9.3707 9.3707 8.4192 Å, 56.19 56.19 60.00°
Element x y z (fractional)
Sn1 0.2723 0.5812 0.2143
Sn2 0.5812 0.9322 0.2143
Sn3 0.9322 0.2723 0.2143
Sn4 0.0678 0.7277 0.7857
Sn5 0.7277 0.4188 0.7857
Sn6 0.4188 0.0678 0.7857
Li1 0.0000 0.0000 0.0000
Pm1 0.4073 0.7826 0.7082
Pm2 0.6675 0.6675 0.9975
Pm3 0.8981 0.5927 0.2918
Pm4 0.2174 0.8981 0.2918
Pm5 0.7826 0.1019 0.7082
Pm6 0.3325 0.3325 0.0025
Pm7 0.5927 0.2174 0.2918
Pm8 0.1019 0.4073 0.7082



The following is a PBE calculation of a relaxed TbTaSi2 crystal, from Alexandria.

Values from the calculation:
The total energy is -7.228 eV per atom. Its calculated density is 8.134 Mg/m³.

Cell: 3.8421 3.8421 6.7021 Å, 73.34 73.34 60.00°
Element x y z (fractional)
Si1 0.2611 0.2611 0.2167
Si2 0.7389 0.7389 0.7833
Tb1 0.5000 0.5000 0.5000
Ta1 0.0000 0.0000 0.0000



The following is a PBE calculation of a relaxed Li3Mg3Ag2Hg crystal, from Alexandria.

Values from the calculation:
The calculation puts the calculated formation energy at -218 meV/atom. The total energy is -2.055 eV per atom. Its calculated density is 4.995 Mg/m³.

Cell: 3.0357 8.0313 8.0313 Å, 120.00 90.00 90.00°
Element x y z (fractional)
Li1 0.5000 0.2977 0.2977
Li2 0.5000 0.0000 0.7023
Li3 0.5000 0.7023 0.0000
Ag1 0.5000 0.6667 0.3333
Ag2 0.5000 0.3333 0.6667
Mg1 0.0000 0.3773 0.0000
Mg2 0.0000 0.0000 0.3773
Mg3 0.0000 0.6227 0.6227
Hg1 0.0000 0.0000 0.0000



The following is a PBE calculation of a relaxed Tl4Te3Pb crystal, from Alexandria.

Values from the calculation:
The total energy is -3.153 eV per atom. Its calculated density is 8.675 Mg/m³.

Cell: 9.2225 9.2225 9.2225 Å, 121.79 121.79 86.93°
Element x y z (fractional)
Te1 0.6639 0.1639 0.8279
Te2 0.1639 0.3361 0.5000
Te3 0.3361 0.8361 0.1721
Te4 0.2500 0.2500 0.0000
Te5 0.7500 0.7500 0.0000
Te6 0.8361 0.6639 0.5000
Tl1 0.3048 0.8048 0.7926
Tl2 0.8048 0.0122 0.5000
Tl3 0.5122 0.3048 0.5000
Tl4 0.0122 0.5122 0.2074
Tl5 0.6952 0.1952 0.2074
Tl6 0.9878 0.4878 0.7926
Tl7 0.1952 0.9878 0.5000
Tl8 0.4878 0.6952 0.5000
Pb1 0.0000 0.0000 0.0000
Pb2 0.5000 0.5000 0.0000



The following is a PBE calculation of a relaxed Co2CuOs crystal, from Alexandria.

Values from the calculation:
The calculation puts the calculated formation energy at 243 meV/atom. The energy above the most stable polymorph in this dataset comes out at 0.35 eV per formula unit. The total energy is -7.141 eV per atom. Its calculated density is 13.169 Mg/m³.

Cell: 4.3959 4.3959 4.3959 Å, 131.35 131.35 71.26°
Element x y z (fractional)
Cu1 0.2500 0.7500 0.5000
Co1 0.0000 0.0000 0.0000
Co2 0.5000 0.5000 0.0000
Os1 0.7500 0.2500 0.5000



The following is a PBE calculation of a relaxed PmZnIrPt crystal, from Alexandria.

Values from the calculation:
The calculation puts the calculated formation energy at -458 meV/atom. The total energy is -5.690 eV per atom. Its calculated density is 13.370 Mg/m³.

Cell: 4.7175 4.7175 4.7175 Å, 60.00 60.00 60.00°
Element x y z (fractional)
Ir1 0.2500 0.2500 0.2500
Pt1 0.7500 0.7500 0.7500
Zn1 0.0000 0.0000 0.0000
Pm1 0.5000 0.5000 0.5000



The following is a PBE calculation of a relaxed Cs2CuF crystal, from Alexandria.

Values from the calculation:
The total energy is -2.817 eV per atom. Its calculated density is 4.419 Mg/m³.

Cell: 5.6991 5.6991 5.6991 Å, 60.00 60.00 60.00°
Site moments in Bohr magnetons follow the coordinates.
Element x y z (fractional)
F1 0.0000 0.0000 0.0000  0.00
Cs1 0.7500 0.7500 0.7500  0.01
Cs2 0.2500 0.2500 0.2500  0.01
Cu1 0.5000 0.5000 0.5000  0.13



The following is a PBE calculation of a relaxed BaErIn2 crystal, from Alexandria.

Values from the calculation:
The calculation puts the calculated formation energy at -183 meV/atom. The energy above the most stable polymorph in this dataset comes out at 0.94 eV per formula unit. The total energy is -3.174 eV per atom. Its calculated density is 6.644 Mg/m³.

Cell: 3.8496 3.8496 10.6385 Å, 79.58 79.58 60.00°
Element x y z (fractional)
In1 0.2579 0.2579 0.2263
In2 0.7421 0.7421 0.7737
Er1 0.0000 0.0000 0.0000
Ba1 0.5000 0.5000 0.5000



The following is a PBE calculation of a relaxed Ir3PbBr crystal, from Alexandria.

Values from the calculation:
The energy above the most stable polymorph in this dataset comes out at 0.00 eV per formula unit. The total energy is -4.785 eV per atom. Its calculated density is 13.601 Mg/m³.

Cell: 4.7246 4.7246 4.7246 Å, 90.00 90.00 90.00°
Site moments in Bohr magnetons follow the coordinates.
Element x y z (fractional)
Ir1 0.5000 0.0000 0.0000  0.34
Ir2 0.0000 0.5000 0.0000  0.34
Ir3 0.0000 0.0000 0.5000  0.19
Pb1 0.5000 0.5000 0.5000  0.00
Br1 0.0000 0.0000 0.0000  0.02



The following is a PBE calculation of a relaxed LiHoTl crystal, from Alexandria.

Values from the calculation:
The calculation puts the calculated formation energy at -267 meV/atom. The energy above the most stable polymorph in this dataset comes out at 0.00 eV per formula unit. The total energy is -3.220 eV per atom. Its calculated density is 8.477 Mg/m³.

Cell: 3.8014 4.7766 8.1179 Å, 90.00 89.90 90.00°
Element x y z (fractional)
Ho1 0.2511 0.7500 0.1402
Ho2 0.7489 0.2500 0.8598
Li1 0.7502 0.7500 0.4806
Li2 0.2498 0.2500 0.5194
Tl1 0.7512 0.2500 0.2537
Tl2 0.2488 0.7500 0.7463